Entry 1:
VASP calculation (GGA-PBE) on a relaxed structure of Er3P4Rh7.

The value obtained for the density is 10.13 g/cm³. Its energy relative to the elements is -1476 kJ/mol of formula units. For the electronic total energy, the calculation gives -204.2 eV/cell. For the density of states at the Fermi level, the calculation gives 8.196 states/eV/f.u. Its crystal system is monoclinic. Its total magnetization is 0.00 μB per formula unit.

It has space group C2/m (No. 12), with a = 14.908 Å, b = 3.932 Å, c = 9.122 Å, α = 90.00°, β = 124.38° and γ = 90.00°. The asymmetric unit holds Er at (0.000, 0.000, 0.000), Er at (0.170, 0.500, 0.667), P at (0.109, 0.000, 0.827), P at (0.167, 0.500, 0.273), Rh at (0.000, 0.000, 0.500), Rh at (0.006, 0.500, 0.269), Rh at (0.168, 0.000, 0.420) and Rh at (0.199, 0.500, 0.047).



Entry 2:
VASP calculation (GGA-PBE) on a relaxed structure of LaScSi.

The value obtained for the density is 4.73 g/cm³. For the electronic total energy, the calculation gives -35.3 eV/cell. The energy above the most stable polymorph in this dataset is 300 meV per atom. For the density of states at the Fermi level, the calculation gives 1.980 states/eV/f.u. The calculation puts the uncorrected formation energy at -322 meV per atom. Its crystal system is tetragonal. Its total magnetization is 0.00 μB per formula unit.

It has space group I4mm (No. 107), with a = 3.340 Å, b = 3.340 Å, c = 13.346 Å, α = 90.00°, β = 90.00° and γ = 90.00°. The asymmetric unit holds La at (0.000, 0.000, 0.000), Sc at (0.000, 0.000, 0.729) and Si at (0.000, 0.000, 0.347).